The following is a DFT calculation (PBE) of a relaxed structure of Si2Os.

Calculated values
Its calculated total energy is -44.40 eV for the cell shown. As for the space group: I4_1/amd (141). As for the magnetization: 0.000 μB/atom. The calculation puts the formation energy (no corrections) at -4 kJ per mole of atoms.

a = 10.600 Å, b = 10.600 Å, c = 10.600 Å
α = 164.35°, β = 164.35°, γ = 22.20°
Fractional coordinates of all 6 atoms:
Si  0.677  0.177  0.500
Si  0.823  0.323  0.500
Os  0.250  0.750  0.500
Si  0.073  0.073  0.000
Os  0.500  0.500  0.000
Si  0.927  0.927  0.000